# 1
{
  "formula": "NaHfBeIn2",
  "functional": "PBE",
  "state": "optimized geometry",
  "energy_ev_per_fu": -18.758,
  "formation_enthalpy_0k_mev_per_atom": 344,
  "cell": [[4.798, 0.000, 0.000], [0.000, 4.798, 0.000], [0.000, 0.000, 4.812]],
  "species": ["Na", "Hf", "Be", "In", "In"],
  "fractional_positions": [[0.000, 0.000, 0.000], [0.500, 0.500, 0.000], [0.500, 0.500, 0.500], [0.000, 0.500, 0.500], [0.500, 0.000, 0.500]]
}


# 2
{
  "formula": "HfBeIn2Ni",
  "functional": "PBE",
  "state": "optimized geometry",
  "energy_ev_per_fu": -17.411,
  "formation_enthalpy_0k_mev_per_atom": 1505,
  "e_above_lowest_polymorph_ev_per_atom": 1.141,
  "cell": [[5.513, 0.000, 0.000], [0.000, 5.513, 0.000], [0.000, 0.000, 4.614]],
  "species": ["Hf", "Be", "In", "In", "Ni"],
  "fractional_positions": [[0.000, 0.000, 0.000], [0.000, 0.000, 0.500], [0.000, 0.500, 0.000], [0.500, 0.000, 0.000], [0.500, 0.500, 0.500]]
}


# 3
{
  "formula": "HfBeIn2Ni",
  "functional": "PBE",
  "state": "optimized geometry",
  "energy_ev_per_fu": -23.117,
  "formation_enthalpy_0k_mev_per_atom": 364,
  "e_above_lowest_polymorph_ev_per_atom": 0.000,
  "cell": [[4.656, 0.000, 0.000], [0.000, 4.656, 0.000], [0.000, 0.000, 4.052]],
  "species": ["Hf", "Be", "In", "In", "Ni"],
  "fractional_positions": [[0.000, 0.000, 0.000], [0.500, 0.500, 0.500], [0.000, 0.500, 0.500], [0.500, 0.000, 0.500], [0.500, 0.500, 0.000]]
}


# 4
{
  "formula": "Hf2BeInSe",
  "functional": "PBE",
  "state": "optimized geometry",
  "energy_ev_per_fu": -28.509,
  "raw_formation_energy_ev_per_atom": 0.269,
  "cell": [[5.010, 0.000, 0.000], [0.000, 5.010, 0.000], [0.000, 0.000, 4.173]],
  "species": ["Hf", "Hf", "Be", "In", "Se"],
  "fractional_positions": [[0.000, 0.500, 0.000], [0.500, 0.000, 0.000], [0.000, 0.000, 0.500], [0.500, 0.500, 0.500], [0.000, 0.000, 0.000]]
}


Number 1: total moment 0.0 μB/f.u.. Number 2: total moment 0.0 μB/f.u.. Number 3: total moment 0.0 μB/f.u.. Number 4: total moment 0.0 μB/f.u..